Material: Ta2F
Method: DFT, GGA-PBE
State: relaxed

```
6
Lattice="0.000 3.835 3.835 3.835 0.000 3.835 3.835 3.835 0.000" Properties=species:S:1:pos:R:3 pbc="T T T"
Ta 0.000 0.000 0.000
Ta 1.917 1.917 0.000
Ta 1.917 0.000 1.917
Ta 0.000 1.917 1.917
F 2.876 2.876 2.876
F 4.793 4.793 4.793
```

Results
For the energy above the most stable polymorph in this dataset, the calculation gives 0.0 meV per atom. The value obtained for the calculated total energy is -7.697 eV/atom.